(1)
Density functional theory data (PBE) for a relaxed structure of Na2Zn3CdGe4.

Unit cell a=4.2666 b=4.2666 c=11.3159 alpha=90.00 beta=90.00 gamma=90.00
Element x y z (fractional)
Na (0.5000, 0.0000, 0.2499)
Na (0.0000, 0.5000, 0.7501)
Zn (0.0000, 0.0000, 0.5000)
Zn (0.5000, 0.0000, 0.8617)
Zn (0.0000, 0.5000, 0.1383)
Cd (0.5000, 0.5000, 0.5000)
Ge (0.5000, 0.5000, 0.0000)
Ge (0.0000, 0.0000, 0.0000)
Ge (0.5000, 0.0000, 0.6454)
Ge (0.0000, 0.5000, 0.3546)

Properties
Its density is 5.20 g cm⁻³. The crystal system is tetragonal. For the total energy, the calculation gives -26.3 eV/cell. As for the space group: P-4m2, No. 115.



(2)
Density functional theory data (PBE) for a relaxed structure of NaZnCdGe.

Unit cell a=4.8656 b=4.8656 c=4.8656 alpha=60.00 beta=60.00 gamma=60.00
Element x y z (fractional)
Na (0.5000, 0.5000, 0.5000)
Ge (0.2500, 0.2500, 0.2500)
Zn (0.7500, 0.7500, 0.7500)
Cd (0.0000, 0.0000, 0.0000)

Properties
Its density is 5.57 g cm⁻³. The crystal system is cubic. For the total energy, the calculation gives -7.8 eV/cell. As for the space group: F-43m, No. 216.



(3)
Density functional theory data (PBE) for a relaxed structure of NbCd3Ge.

Unit cell a=5.1075 b=5.1075 c=5.1075 alpha=90.00 beta=90.00 gamma=90.00
Element x y z (fractional)
Nb (0.5000, 0.5000, 0.5000)
Ge (0.0000, 0.0000, 0.0000)
Cd (0.0000, 0.5000, 0.0000)
Cd (0.0000, 0.0000, 0.5000)
Cd (0.5000, 0.0000, 0.0000)

Properties
Its density is 6.27 g cm⁻³. The crystal system is cubic. For the total energy, the calculation gives -12.1 eV/cell. As for the space group: Pm-3m, No. 221.



(4)
Density functional theory data (PBE) for a relaxed structure of NbCdGe.

Unit cell a=3.5748 b=2.9431 c=13.7371 alpha=90.00 beta=90.00 gamma=127.40
Element x y z (fractional)
Ge (0.6785, 0.3570, 0.0000)
Ge (0.2572, 0.5144, 0.5000)
Cd (0.6733, 0.3465, 0.3184)
Cd (0.6733, 0.3465, 0.6816)
Nb (0.1922, 0.3844, 0.8533)
Nb (0.1922, 0.3844, 0.1467)

Properties
Its density is 8.04 g cm⁻³. The crystal system is orthorhombic. For the total energy, the calculation gives -30.8 eV/cell. As for the space group: Amm2, No. 38.



(5)
Density functional theory data (PBE) for a relaxed structure of NbCdGe2.

Unit cell a=7.4068 b=7.4068 c=6.0060 alpha=51.93 beta=51.93 gamma=90.00
Element x y z (fractional)
Nb (0.5000, 0.5000, 0.0000)
Nb (0.2500, 0.7500, 0.5000)
Ge (0.6126, 0.1250, 0.2500)
Ge (0.1374, 0.6250, 0.2500)
Ge (0.3750, 0.3874, 0.7500)
Ge (0.8750, 0.8626, 0.7500)
Cd (0.0000, 0.0000, 0.0000)
Cd (0.7500, 0.2500, 0.5000)

Properties
Its density is 7.22 g cm⁻³. The crystal system is tetragonal. For the total energy, the calculation gives -37.1 eV/cell. As for the space group: I-42d, No. 122.



(6)
Density functional theory data (PBE) for a relaxed structure of Nb2CdGe.

Unit cell a=3.9712 b=3.9712 c=10.4265 alpha=79.02 beta=79.02 gamma=90.00
Element x y z (fractional)
Nb (0.6130, 0.1250, 0.2500)
Nb (0.1370, 0.6250, 0.2500)
Nb (0.3750, 0.3870, 0.7500)
Nb (0.8750, 0.8630, 0.7500)
Ge (0.5000, 0.5000, 0.0000)
Ge (0.2500, 0.7500, 0.5000)
Cd (0.0000, 0.0000, 0.0000)
Cd (0.7500, 0.2500, 0.5000)

Properties
Its density is 7.78 g cm⁻³. The crystal system is tetragonal. For the total energy, the calculation gives -47.9 eV/cell. As for the space group: I-42d, No. 122.